First-principles (PBE) data for a geometry-optimized NaPtI structure, as listed in the Alexandria database.

Unit cell a=4.592 b=4.592 c=4.307 alpha=90.00 beta=90.00 gamma=120.00
Fractional coordinates of all 3 atoms:
I (0.000, 0.000, 0.000)
Pt (0.333, 0.667, 0.000)
Na (0.667, 0.333, 0.500)

Results
formation energy without anion corrections	-0.75	eV/f.u.
energy relative to the lowest polymorph listed for this composition	221	meV per atom

First-principles (PBE) data for a geometry-optimized NaPt3I structure, as listed in the Alexandria database.

Unit cell a=4.765 b=4.765 c=4.765 alpha=90.00 beta=90.00 gamma=90.00
Fractional coordinates of all 5 atoms:
Pt (0.000, 0.500, 0.000)
Pt (0.000, 0.000, 0.500)
Pt (0.500, 0.000, 0.000)
Na (0.000, 0.000, 0.000)
I (0.500, 0.500, 0.500)

Results
formation energy without anion corrections	7.19	eV/f.u.
energy relative to the lowest polymorph listed for this composition	778	meV per atom

First-principles (PBE) data for a geometry-optimized NaPtI structure, as listed in the Alexandria database.

Unit cell a=9.282 b=5.706 c=5.706 alpha=139.99 beta=115.35 gamma=64.65
Fractional coordinates of all 6 atoms:
I (0.314, 0.722, 0.278)
I (0.686, 0.278, 0.722)
Na (0.806, 0.511, 0.489)
Na (0.194, 0.489, 0.511)
Pt (0.900, 0.759, 0.241)
Pt (0.100, 0.241, 0.759)

Results
formation energy without anion corrections	-1.41	eV/f.u.
energy relative to the lowest polymorph listed for this composition	0	meV per atom

First-principles (PBE) data for a geometry-optimized NaPtI structure, as listed in the Alexandria database.

Unit cell a=4.697 b=4.697 c=4.697 alpha=60.00 beta=60.00 gamma=60.00
Fractional coordinates of all 3 atoms:
Pt (0.500, 0.500, 0.500)
I (0.750, 0.750, 0.750)
Na (0.250, 0.250, 0.250)

Results
formation energy without anion corrections	-0.38	eV/f.u.
energy relative to the lowest polymorph listed for this composition	346	meV per atom

First-principles (PBE) data for a geometry-optimized NaPtI structure, as listed in the Alexandria database.

Unit cell a=13.509 b=5.355 c=5.355 alpha=137.16 beta=134.65 gamma=45.35
Fractional coordinates of all 6 atoms:
Na (0.334, 0.376, 0.624)
Na (0.834, 0.376, 0.624)
Pt (0.432, 0.006, 0.994)
Pt (0.236, 0.747, 0.253)
I (0.641, 0.271, 0.729)
I (0.027, 0.482, 0.518)

Results
formation energy without anion corrections	-1.30	eV/f.u.
energy relative to the lowest polymorph listed for this composition	38	meV per atom

First-principles (PBE) data for a geometry-optimized NaPtI structure, as listed in the Alexandria database.

Unit cell a=6.408 b=3.916 c=6.797 alpha=90.00 beta=90.42 gamma=90.00
Fractional coordinates of all 6 atoms:
Pt (0.399, 0.250, 0.909)
Pt (0.601, 0.750, 0.091)
I (0.213, 0.750, 0.697)
I (0.787, 0.250, 0.303)
Na (0.174, 0.750, 0.202)
Na (0.826, 0.250, 0.798)

Results
formation energy without anion corrections	-1.36	eV/f.u.
energy relative to the lowest polymorph listed for this composition	17	meV per atom

First-principles (PBE) data for a geometry-optimized NaPtI4 structure, as listed in the Alexandria database.

Unit cell a=7.822 b=7.822 c=8.409 alpha=89.98 beta=89.98 gamma=73.61
Each line ends with the local moment (μB).
Fractional coordinates of all 12 atoms:
I (0.214, 0.215, 0.250)  0.00
I (0.205, 0.802, 0.500)  0.08
I (0.785, 0.786, 0.250)  0.00
I (0.198, 0.795, 0.000)  0.08
I (0.795, 0.198, 0.500)  0.08
I (0.802, 0.205, 0.000)  0.08
I (0.786, 0.785, 0.750)  0.00
I (0.215, 0.214, 0.750)  0.00
Pt (0.000, 0.000, 0.250)  0.19
Pt (0.000, 0.000, 0.750)  0.19
Na (0.000, 0.500, 0.500)  0.00
Na (0.500, 0.000, 0.000)  0.00

Results
formation energy without anion corrections	-2.51	eV/f.u.

First-principles (PBE) data for a geometry-optimized NaPtI structure, as listed in the Alexandria database.

Unit cell a=5.667 b=8.584 c=6.200 alpha=46.19 beta=62.80 gamma=90.00
Fractional coordinates of all 6 atoms:
Pt (0.500, 0.000, 0.500)
Pt (0.000, 0.000, 0.500)
Na (0.500, 0.500, 0.000)
Na (0.500, 0.000, 0.000)
I (0.937, 0.687, 0.125)
I (0.063, 0.313, 0.875)

Results
formation energy without anion corrections	-1.18	eV/f.u.
energy relative to the lowest polymorph listed for this composition	77	meV per atom

First-principles (PBE) data for a geometry-optimized NaPtI4 structure, as listed in the Alexandria database.

Unit cell a=4.224 b=7.268 c=7.756 alpha=102.91 beta=90.00 gamma=90.00
Each line ends with the local moment (μB).
Fractional coordinates of all 6 atoms:
I (0.500, 0.718, 0.683)  0.08
I (0.000, 0.272, 0.731)  0.00
I (0.500, 0.282, 0.317)  0.08
I (0.000, 0.728, 0.269)  0.00
Pt (0.000, 0.500, 0.500)  0.20
Na (0.500, 0.500, 0.000)  0.00

Results
formation energy without anion corrections	-2.54	eV/f.u.

First-principles (PBE) data for a geometry-optimized NaPtI structure, as listed in the Alexandria database.

Unit cell a=5.578 b=7.564 c=7.039 alpha=90.00 beta=90.00 gamma=90.00
Fractional coordinates of all 12 atoms:
Pt (0.250, 0.750, 0.750)
Pt (0.750, 0.250, 0.250)
Pt (0.750, 0.750, 0.750)
Pt (0.250, 0.250, 0.250)
Na (0.001, 0.250, 0.610)
Na (0.501, 0.250, 0.890)
Na (0.999, 0.750, 0.390)
Na (0.499, 0.750, 0.110)
I (0.500, 0.500, 0.500)
I (0.500, 0.000, 0.500)
I (0.000, 0.000, 0.000)
I (0.000, 0.500, 0.000)

Results
formation energy without anion corrections	-0.64	eV/f.u.
energy relative to the lowest polymorph listed for this composition	257	meV per atom

First-principles (PBE) data for a geometry-optimized NaPtI structure, as listed in the Alexandria database.

Unit cell a=15.425 b=5.431 c=5.431 alpha=137.62 beta=140.72 gamma=39.28
Fractional coordinates of all 6 atoms:
Pt (0.899, 0.104, 0.896)
Pt (0.099, 0.398, 0.602)
Na (0.995, 0.257, 0.743)
Na (0.485, 0.765, 0.235)
I (0.689, 0.825, 0.175)
I (0.307, 0.686, 0.314)

Results
formation energy without anion corrections	-1.33	eV/f.u.
energy relative to the lowest polymorph listed for this composition	29	meV per atom

First-principles (PBE) data for a geometry-optimized NaPtI structure, as listed in the Alexandria database.

Unit cell a=3.903 b=4.873 c=9.086 alpha=90.00 beta=90.00 gamma=90.00
Fractional coordinates of all 6 atoms:
Pt (0.000, 0.000, 0.263)
Pt (0.500, 0.000, 0.066)
I (0.000, 0.000, 0.868)
I (0.500, 0.000, 0.479)
Na (0.500, 0.500, 0.215)
Na (0.000, 0.500, 0.633)

Results
formation energy without anion corrections	-1.26	eV/f.u.
energy relative to the lowest polymorph listed for this composition	53	meV per atom

First-principles (PBE) data for a geometry-optimized NaPt3I structure, as listed in the Alexandria database.

Unit cell a=5.032 b=5.032 c=5.032 alpha=90.00 beta=90.00 gamma=90.00
Fractional coordinates of all 5 atoms:
I (0.000, 0.000, 0.000)
Pt (0.000, 0.000, 0.500)
Pt (0.500, 0.000, 0.000)
Pt (0.000, 0.500, 0.000)
Na (0.500, 0.500, 0.500)

Results
formation energy without anion corrections	3.30	eV/f.u.
energy relative to the lowest polymorph listed for this composition	0	meV per atom

First-principles (PBE) data for a geometry-optimized NaPtI structure, as listed in the Alexandria database.

Unit cell a=4.589 b=4.589 c=8.626 alpha=90.00 beta=90.00 gamma=120.00
Fractional coordinates of all 6 atoms:
Na (0.000, 0.000, 0.000)
Na (0.000, 0.000, 0.500)
I (0.667, 0.333, 0.250)
I (0.333, 0.667, 0.750)
Pt (0.667, 0.333, 0.750)
Pt (0.333, 0.667, 0.250)

Results
formation energy without anion corrections	-0.75	eV/f.u.
energy relative to the lowest polymorph listed for this composition	223	meV per atom

First-principles (PBE) data for a geometry-optimized NaPtI structure, as listed in the Alexandria database.

Unit cell a=5.330 b=5.330 c=10.076 alpha=90.00 beta=90.00 gamma=120.00
Fractional coordinates of all 6 atoms:
Pt (0.000, 0.000, 0.500)
Pt (0.000, 0.000, 0.000)
I (0.000, 0.000, 0.250)
I (0.000, 0.000, 0.750)
Na (0.333, 0.667, 0.250)
Na (0.667, 0.333, 0.750)

Results
formation energy without anion corrections	0.17	eV/f.u.
energy relative to the lowest polymorph listed for this composition	528	meV per atom

First-principles (PBE) data for a geometry-optimized NaPtI structure, as listed in the Alexandria database.

Unit cell a=3.912 b=6.636 c=6.605 alpha=88.25 beta=90.01 gamma=90.03
Fractional coordinates of all 6 atoms:
Pt (0.366, 0.718, 0.454)
Pt (0.866, 0.525, 0.647)
I (0.366, 0.323, 0.848)
I (0.866, 0.924, 0.250)
Na (0.866, 0.436, 0.223)
Na (0.865, 0.946, 0.741)

Results
formation energy without anion corrections	-1.37	eV/f.u.
energy relative to the lowest polymorph listed for this composition	15	meV per atom

First-principles (PBE) data for a geometry-optimized Na2Pt2I structure, as listed in the Alexandria database.

Unit cell a=3.997 b=3.997 c=7.480 alpha=74.50 beta=74.50 gamma=90.00
Fractional coordinates of all 5 atoms:
Pt (0.595, 0.595, 0.810)
Pt (0.405, 0.405, 0.190)
Na (0.250, 0.750, 0.500)
Na (0.750, 0.250, 0.500)
I (0.000, 0.000, 0.000)

Results
formation energy without anion corrections	2.07	eV/f.u.
energy relative to the lowest polymorph listed for this composition	493	meV per atom

First-principles (PBE) data for a geometry-optimized NaPtI structure, as listed in the Alexandria database.

Unit cell a=9.125 b=5.516 c=3.907 alpha=110.54 beta=91.24 gamma=76.10
Fractional coordinates of all 6 atoms:
Pt (0.988, 0.014, 0.506)
Pt (0.187, 0.929, 0.975)
I (0.395, 0.734, 0.388)
I (0.781, 0.998, 0.987)
Na (0.923, 0.480, 0.235)
Na (0.250, 0.341, 0.684)

Results
formation energy without anion corrections	-1.39	eV/f.u.
energy relative to the lowest polymorph listed for this composition	9	meV per atom

First-principles (PBE) data for a geometry-optimized NaPtI structure, as listed in the Alexandria database.

Unit cell a=3.859 b=9.369 c=4.958 alpha=74.66 beta=90.01 gamma=90.02
Fractional coordinates of all 6 atoms:
I (0.594, 0.161, 0.542)
I (0.094, 0.797, 0.222)
Pt (0.594, 0.579, 0.331)
Pt (0.094, 0.378, 0.432)
Na (0.094, 0.614, 0.813)
Na (0.594, 0.343, 0.951)

Results
formation energy without anion corrections	-1.38	eV/f.u.
energy relative to the lowest polymorph listed for this composition	12	meV per atom

First-principles (PBE) data for a geometry-optimized NaPtI structure, as listed in the Alexandria database.

Unit cell a=3.911 b=9.101 c=9.101 alpha=148.02 beta=90.00 gamma=90.00
Fractional coordinates of all 6 atoms:
I (0.000, 0.868, 0.132)
I (0.500, 0.186, 0.814)
Pt (0.500, 0.975, 0.025)
Pt (0.000, 0.076, 0.924)
Na (0.000, 0.679, 0.321)
Na (0.000, 0.479, 0.521)

Results
formation energy without anion corrections	-1.39	eV/f.u.
energy relative to the lowest polymorph listed for this composition	7	meV per atom